## CoPtN2F (PBE with a Hubbard U)

Data for crystalline CoPtN2F at its relaxed geometry.

## Properties
Its total energy is -5.018 eV per atom. For the magnetic moment, the calculation gives 2.2 μB per cell.

Lattice parameters (Å, degrees): 3.701 3.701 5.979 90.00 90.00 90.00
Space group P4/mmm (No. 123)
Inequivalent atoms, fractional coordinates:
Co  0.000  0.000  0.000 (multiplicity 1)
Pt  0.500  0.500  0.500 (multiplicity 1)
N  0.000  0.500  0.500 (multiplicity 2)
F  0.500  0.500  0.000 (multiplicity 1)